Entry 1:
# PBE BiP2RuO, optimized geometry
# Calculated total energy, eV for the cell shown: -22.4
# Crystal system: tetragonal
# E above lowest polymorph, meV per atom: 1296
# Total moment, μB per formula unit: 2.56
# Formation energy (no corrections), eV/atom: 1.312
data_BiP2RuO
_cell_length_a 5.2066
_cell_length_b 5.2066
_cell_length_c 4.0910
_cell_angle_alpha 90.00
_cell_angle_beta 90.00
_cell_angle_gamma 90.00
_symmetry_space_group_name_H-M 'P 1'
_symmetry_Int_Tables_number 1
_symmetry_space_group_name_Hall 'P 1'
loop_
_atom_site_label
_atom_site_type_symbol
_atom_site_fract_x
_atom_site_fract_y
_atom_site_fract_z
_atom_site_occupancy
Bi1 Bi 0.0000 0.0000 0.0000 1
P1 P 0.0000 0.5000 0.0000 1
P2 P 0.5000 0.0000 0.0000 1
Ru1 Ru 0.5000 0.5000 0.5000 1
O1 O 0.0000 0.0000 0.5000 1

Entry 2:
# PBE Ba6Li2PdRh, optimized geometry
# Calculated total energy, eV for the cell shown: -59.1
# Calculated formation energy, kJ/mol of atoms: -15.7
# Crystal system: monoclinic
# Total moment, μB per formula unit: 0.00
data_Ba6Li2PdRh
_cell_length_a 8.1089
_cell_length_b 9.0070
_cell_length_c 12.2420
_cell_angle_alpha 90.00
_cell_angle_beta 89.62
_cell_angle_gamma 90.00
_symmetry_space_group_name_H-M 'P 1'
_symmetry_Int_Tables_number 1
_symmetry_space_group_name_Hall 'P 1'
loop_
_atom_site_label
_atom_site_type_symbol
_atom_site_fract_x
_atom_site_fract_y
_atom_site_fract_z
_atom_site_occupancy
Ba1 Ba 0.3251 0.6973 0.4569 1
Ba2 Ba 0.0973 0.4828 0.7540 1
Ba3 Ba 0.9027 0.5172 0.2460 1
Ba4 Ba 0.1749 0.1973 0.0431 1
Ba5 Ba 0.5973 0.0172 0.2540 1
Ba6 Ba 0.1826 0.1855 0.4571 1
Ba7 Ba 0.6749 0.3027 0.5431 1
Ba8 Ba 0.8174 0.8145 0.5429 1
Ba9 Ba 0.3174 0.6855 0.0429 1
Ba10 Ba 0.6826 0.3145 0.9571 1
Ba11 Ba 0.4027 0.9828 0.7460 1
Ba12 Ba 0.8251 0.8027 0.9569 1
Li1 Li 0.0572 0.9095 0.2482 1
Li2 Li 0.9428 0.0905 0.7518 1
Li3 Li 0.4428 0.4095 0.2518 1
Li4 Li 0.5572 0.5905 0.7482 1
Rh1 Rh 0.0000 0.5000 0.0000 1
Rh2 Rh 0.5000 0.0000 0.5000 1
Pd1 Pd 0.0000 0.5000 0.5000 1
Pd2 Pd 0.5000 0.0000 0.0000 1

Entry 3:
# PBE Ca4Ce3MoN8, optimized geometry
# Calculated total energy, eV for the cell shown: -121.3
# Crystal system: trigonal
# Total moment, μB per formula unit: 0.00
# Formation energy (no corrections), eV/atom: -1.127
data_Ca4Ce3MoN8
_cell_length_a 6.9243
_cell_length_b 6.9179
_cell_length_c 6.9241
_cell_angle_alpha 120.03
_cell_angle_beta 120.00
_cell_angle_gamma 90.00
_symmetry_space_group_name_H-M 'P 1'
_symmetry_Int_Tables_number 1
_symmetry_space_group_name_Hall 'P 1'
loop_
_atom_site_label
_atom_site_type_symbol
_atom_site_fract_x
_atom_site_fract_y
_atom_site_fract_z
_atom_site_occupancy
Ce1 Ce 0.5000 0.5000 0.0000 1
Ce2 Ce 0.5000 0.5000 0.5000 1
Ce3 Ce 0.0000 0.5000 0.5000 1
N1 N 0.7417 0.7250 0.4833 1
N2 N 0.7739 0.2840 0.0101 1
N3 N 0.7639 0.7160 0.9899 1
N4 N 0.2361 0.2840 0.0101 1
N5 N 0.7737 0.2838 0.5473 1
N6 N 0.2583 0.2750 0.5167 1
N7 N 0.2261 0.7160 0.9899 1
N8 N 0.2263 0.7162 0.4527 1
Ca1 Ca 0.5000 0.0000 0.5000 1
Ca2 Ca 0.0000 0.0000 0.0000 1
Ca3 Ca 0.5000 0.0000 0.0000 1
Ca4 Ca 0.0000 0.0000 0.5000 1
Mo1 Mo 0.0000 0.5000 0.0000 1

Entry 4:
# PBE CsSr2SnAs, optimized geometry
# Calculated total energy, eV for the cell shown: -13.0
# Calculated formation energy, kJ/mol of atoms: -1.9
# Crystal system: tetragonal
# Total moment, μB per formula unit: 0.00
data_CsSr2SnAs
_cell_length_a 6.3390
_cell_length_b 5.8282
_cell_length_c 6.3390
_cell_angle_alpha 90.00
_cell_angle_beta 90.00
_cell_angle_gamma 90.00
_symmetry_space_group_name_H-M 'P 1'
_symmetry_Int_Tables_number 1
_symmetry_space_group_name_Hall 'P 1'
loop_
_atom_site_label
_atom_site_type_symbol
_atom_site_fract_x
_atom_site_fract_y
_atom_site_fract_z
_atom_site_occupancy
As1 As 0.0000 0.5000 0.0000 1
Sr1 Sr 0.0000 0.0000 0.5000 1
Sr2 Sr 0.5000 0.0000 0.0000 1
Sn1 Sn 0.0000 0.0000 0.0000 1
Cs1 Cs 0.5000 0.5000 0.5000 1

Entry 5:
# PBE Er3Zn, optimized geometry
# Calculated total energy, eV for the cell shown: -15.0
# Calculated formation energy, kJ/mol of atoms: -0.7
# Crystal system: tetragonal
# Total moment, μB per formula unit: 0.00
data_Er3Zn
_cell_length_a 4.6604
_cell_length_b 4.6604
_cell_length_c 5.7898
_cell_angle_alpha 113.73
_cell_angle_beta 113.73
_cell_angle_gamma 90.00
_symmetry_space_group_name_H-M 'P 1'
_symmetry_Int_Tables_number 1
_symmetry_space_group_name_Hall 'P 1'
loop_
_atom_site_label
_atom_site_type_symbol
_atom_site_fract_x
_atom_site_fract_y
_atom_site_fract_z
_atom_site_occupancy
Er1 Er 0.7500 0.2500 0.5000 1
Er2 Er 0.5000 0.5000 0.0000 1
Er3 Er 0.2500 0.7500 0.5000 1
Zn1 Zn 0.0000 0.0000 0.0000 1

Entry 6:
# PBE Fe2AsRu, optimized geometry
# Calculated total energy, eV for the cell shown: -30.2
# Calculated formation energy, kJ/mol of atoms: 16.6
# Crystal system: tetragonal
# Total moment, μB per formula unit: 3.13
data_Fe2AsRu
_cell_length_a 2.8344
_cell_length_b 2.8344
_cell_length_c 6.3112
_cell_angle_alpha 90.00
_cell_angle_beta 90.00
_cell_angle_gamma 90.00
_symmetry_space_group_name_H-M 'P 1'
_symmetry_Int_Tables_number 1
_symmetry_space_group_name_Hall 'P 1'
loop_
_atom_site_label
_atom_site_type_symbol
_atom_site_fract_x
_atom_site_fract_y
_atom_site_fract_z
_atom_site_occupancy
Ru1 Ru 0.5000 0.5000 0.2500 1
Fe1 Fe 0.0000 0.0000 0.9856 1
Fe2 Fe 0.0000 0.0000 0.5144 1
As1 As 0.5000 0.5000 0.7500 1

Entry 7:
# PBE Li3Ti2TcN6, optimized geometry
# Calculated total energy, eV for the cell shown: -90.2
# Crystal system: monoclinic
# Total moment, μB per formula unit: 0.00
# Formation energy (no corrections), eV/atom: -0.699
data_Li3Ti2TcN6
_cell_length_a 5.1427
_cell_length_b 5.1427
_cell_length_c 5.3277
_cell_angle_alpha 99.30
_cell_angle_beta 99.30
_cell_angle_gamma 119.98
_symmetry_space_group_name_H-M 'P 1'
_symmetry_Int_Tables_number 1
_symmetry_space_group_name_Hall 'P 1'
loop_
_atom_site_label
_atom_site_type_symbol
_atom_site_fract_x
_atom_site_fract_y
_atom_site_fract_z
_atom_site_occupancy
Li1 Li 0.8330 0.1670 0.5000 1
Li2 Li 0.5000 0.5000 0.5000 1
Li3 Li 0.1670 0.8330 0.5000 1
N1 N 0.4020 0.0739 0.2202 1
N2 N 0.5980 0.9261 0.7798 1
N3 N 0.7454 0.7454 0.2211 1
N4 N 0.0739 0.4020 0.2202 1
N5 N 0.2546 0.2546 0.7789 1
N6 N 0.9261 0.5980 0.7798 1
Ti1 Ti 0.3334 0.6666 0.0000 1
Ti2 Ti 0.6666 0.3334 0.0000 1
Tc1 Tc 0.0000 0.0000 0.0000 1

Entry 8:
# PBE PaAsPb2O8, optimized geometry
# Calculated total energy, eV for the cell shown: -76.4
# Crystal system: trigonal
# Total moment, μB per formula unit: 2.03
# Formation energy (no corrections), eV/atom: -1.266
data_PaAsPb2O8
_cell_length_a 5.7051
_cell_length_b 5.7051
_cell_length_c 5.9520
_cell_angle_alpha 90.00
_cell_angle_beta 90.00
_cell_angle_gamma 120.00
_symmetry_space_group_name_H-M 'P 1'
_symmetry_Int_Tables_number 1
_symmetry_space_group_name_Hall 'P 1'
loop_
_atom_site_label
_atom_site_type_symbol
_atom_site_fract_x
_atom_site_fract_y
_atom_site_fract_z
_atom_site_occupancy
O1 O 0.2944 0.1472 0.8060 1
O2 O 0.1472 0.2944 0.1940 1
O3 O 0.1472 0.8528 0.1940 1
O4 O 0.6667 0.3333 0.4647 1
O5 O 0.8528 0.1472 0.8060 1
O6 O 0.7056 0.8528 0.1940 1
O7 O 0.3333 0.6667 0.5353 1
O8 O 0.8528 0.7056 0.8060 1
As1 As 0.0000 0.0000 0.0000 1
Pb1 Pb 0.6667 0.3333 0.1137 1
Pb2 Pb 0.3333 0.6667 0.8863 1
Pa1 Pa 0.0000 0.0000 0.5000 1

Entry 9:
# PBE NbTe2Br, optimized geometry
# Calculated total energy, eV for the cell shown: -16.4
# Crystal system: trigonal
# E above lowest polymorph, meV per atom: 710
# Total moment, μB per formula unit: 0.00
# Formation energy (no corrections), eV/atom: 0.406
data_NbTe2Br
_cell_length_a 13.1016
_cell_length_b 13.1016
_cell_length_c 13.1016
_cell_angle_alpha 13.62
_cell_angle_beta 13.62
_cell_angle_gamma 13.62
_symmetry_space_group_name_H-M 'P 1'
_symmetry_Int_Tables_number 1
_symmetry_space_group_name_Hall 'P 1'
loop_
_atom_site_label
_atom_site_type_symbol
_atom_site_fract_x
_atom_site_fract_y
_atom_site_fract_z
_atom_site_occupancy
Te1 Te 0.0740 0.0740 0.0740 1
Te2 Te 0.9260 0.9260 0.9260 1
Nb1 Nb 0.0000 0.0000 0.0000 1
Br1 Br 0.5000 0.5000 0.5000 1

Entry 10:
# PBE LaPmGa, optimized geometry
# Calculated total energy, eV for the cell shown: -13.5
# Calculated formation energy, kJ/mol of atoms: -25.2
# Crystal system: cubic
# E above lowest polymorph, meV per atom: 151
# Total moment, μB per formula unit: 0.00
data_LaPmGa
_cell_length_a 5.1400
_cell_length_b 5.1400
_cell_length_c 5.1400
_cell_angle_alpha 60.00
_cell_angle_beta 60.00
_cell_angle_gamma 60.00
_symmetry_space_group_name_H-M 'P 1'
_symmetry_Int_Tables_number 1
_symmetry_space_group_name_Hall 'P 1'
loop_
_atom_site_label
_atom_site_type_symbol
_atom_site_fract_x
_atom_site_fract_y
_atom_site_fract_z
_atom_site_occupancy
Ga1 Ga 0.2500 0.2500 0.2500 1
La1 La 0.5000 0.5000 0.5000 1
Pm1 Pm 0.0000 0.0000 0.0000 1

Entry 11:
# PBE BeIn2P, optimized geometry
# Calculated total energy, eV for the cell shown: -14.0
# Calculated formation energy, kJ/mol of atoms: 15.2
# Crystal system: orthorhombic
# E above lowest polymorph, meV per atom: 53
# Total moment, μB per formula unit: 0.00
data_BeIn2P
_cell_length_a 6.7670
_cell_length_b 6.7670
_cell_length_c 6.7670
_cell_angle_alpha 149.68
_cell_angle_beta 145.92
_cell_angle_gamma 46.25
_symmetry_space_group_name_H-M 'P 1'
_symmetry_Int_Tables_number 1
_symmetry_space_group_name_Hall 'P 1'
loop_
_atom_site_label
_atom_site_type_symbol
_atom_site_fract_x
_atom_site_fract_y
_atom_site_fract_z
_atom_site_occupancy
In1 In 0.9696 0.9696 0.0000 1
In2 In 0.2636 0.7636 0.5000 1
P1 P 0.5897 0.5897 0.0000 1
Be1 Be 0.6771 0.1771 0.5000 1

Entry 12:
# PBE La2Dy3Y6Ho, optimized geometry
# Calculated total energy, eV for the cell shown: -66.8
# Calculated formation energy, kJ/mol of atoms: 2.1
# Crystal system: monoclinic
# Total moment, μB per formula unit: 0.00
data_La2Dy3Y6Ho
_cell_length_a 6.2220
_cell_length_b 6.2220
_cell_length_c 11.8724
_cell_angle_alpha 95.00
_cell_angle_beta 95.00
_cell_angle_gamma 119.98
_symmetry_space_group_name_H-M 'P 1'
_symmetry_Int_Tables_number 1
_symmetry_space_group_name_Hall 'P 1'
loop_
_atom_site_label
_atom_site_type_symbol
_atom_site_fract_x
_atom_site_fract_y
_atom_site_fract_z
_atom_site_occupancy
Y1 Y 0.7529 0.7529 0.2540 1
Y2 Y 0.4169 0.0848 0.2538 1
Y3 Y 0.0848 0.4169 0.2538 1
Y4 Y 0.9152 0.5831 0.7462 1
Y5 Y 0.5831 0.9152 0.7462 1
Y6 Y 0.2471 0.2471 0.7460 1
Dy1 Dy 0.8336 0.1664 0.5000 1
Dy2 Dy 0.1664 0.8336 0.5000 1
Dy3 Dy 0.5000 0.5000 0.5000 1
La1 La 0.6665 0.3335 0.0000 1
La2 La 0.3335 0.6665 0.0000 1
Ho1 Ho 0.0000 0.0000 0.0000 1

- The highest calculated total energy belongs to which entry?
  CsSr2SnAs

- What is the calculated total energy in the seventh record?
  -90.2 eV for the cell shown

- Among the records above, which one has the highest calculated total energy?
  CsSr2SnAs